The following is a meta-GGA SCAN calculation of a PBEsol-optimized structure of ZnTePb2, from Alexandria.

The space group is Immm (No. 71) and the conventional cell measures 4.1666, 5.4354 and 9.4233 Å, with angles of 90.00, 90.00 and 90.00 degrees. The distinct sites, in fractional coordinates, are Zn at (0.0000, 0.0000, 0.0000), Te at (0.0000, 0.0000, 0.5000) and Pb at (0.0000, 0.5000, 0.2749).

Its crystal system is orthorhombic. The density of states at the Fermi level comes out at 1.49 states/eV/f.u. Its total energy is -50.46 eV per atom. The uncorrected formation energy comes out at 12.1 kJ/mol of atoms.